1.
VASP calculation (GGA-PBE) on crystalline YTm6Cu2Te2 at its relaxed geometry.

Output
Total DFT energy (no corrections) ... -4.85 eV/atom

Cell: 9.228 9.228 9.228 Å, 155.45 67.67 118.06°
Fractional coordinates of all 11 atoms:
1 Y 0.000 0.000 0.000
2 Tm 0.286 0.416 0.870
3 Tm 0.306 0.621 0.685
4 Tm 0.547 0.416 0.130
5 Tm 0.618 0.264 0.355
6 Tm 0.909 0.264 0.645
7 Tm 0.935 0.621 0.315
8 Cu 0.164 0.926 0.237
9 Cu 0.689 0.926 0.763
10 Te 0.265 0.765 0.500
11 Te 0.662 0.662 0.000

2.
VASP calculation (GGA-PBE) on crystalline Y3Tm4Cu2Te2 at its relaxed geometry.

Output
Total DFT energy (no corrections) ... -5.23 eV/atom

Cell: 9.272 9.272 9.272 Å, 155.38 67.41 118.36°
Fractional coordinates of all 11 atoms:
1 Y 0.000 0.000 0.000
2 Y 0.615 0.259 0.356
3 Y 0.903 0.259 0.644
4 Tm 0.283 0.413 0.870
5 Tm 0.304 0.619 0.685
6 Tm 0.543 0.413 0.130
7 Tm 0.934 0.619 0.315
8 Cu 0.167 0.928 0.239
9 Cu 0.689 0.928 0.761
10 Te 0.264 0.764 0.500
11 Te 0.658 0.658 0.000

3.
VASP calculation (GGA-PBE) on crystalline YTmCu2Te4 at its relaxed geometry.

Output
Total DFT energy (no corrections) ... -4.68 eV/atom

Cell: 6.872 6.872 4.773 Å, 90.00 90.00 90.02°
Fractional coordinates of all 8 atoms:
1 Y 0.000 0.000 0.000
2 Tm 0.500 0.500 0.402
3 Cu 0.000 0.500 0.200
4 Cu 0.500 0.000 0.200
5 Te 0.202 0.798 0.478
6 Te 0.302 0.302 0.925
7 Te 0.698 0.698 0.925
8 Te 0.798 0.202 0.478